# 1
First-principles (PBE) data for a relaxed structure of Ca8TlPb2, as listed in Alexandria via LeMat-Bulk.

Geometry as POSCAR:
```
Ca8TlPb2
1.0
5.309 0.000 -1.612
-0.945 6.995 -3.111
0.077 0.116 9.801
Ca Tl Pb
8 1 2
Cartesian
2.597 6.124 -0.995
1.408 4.215 4.638
0.830 1.328 2.735
5.140 1.934 7.381
3.611 5.783 2.343
3.033 2.896 0.440
1.844 0.987 6.073
-0.699 5.178 -2.303
2.654 0.000 -0.806
0.378 4.859 1.246
4.063 2.253 3.832
```

Properties
As for the space group: Immm (71). For the energy of formation, the calculation gives -344 kJ/mol of formula units.

---

# 2
First-principles (PBE) data for a relaxed structure of Ca2TlPb2, as listed in Alexandria via LeMat-Bulk.

Geometry as POSCAR:
```
Ca2TlPb2
1.0
9.615 0.000 0.000
0.000 9.615 0.000
0.000 0.000 3.491
Pb Tl Ca
4 2 4
Cartesian
1.669 6.476 1.745
6.476 7.947 1.745
7.947 3.139 1.745
3.139 1.669 1.745
0.000 0.000 0.000
4.808 4.808 0.000
3.583 8.390 0.000
8.390 6.033 0.000
6.033 1.225 0.000
1.225 3.583 0.000
```

Properties
As for the space group: P4/mbm (127). As for the relative energy among the computed polymorphs: 0.323 eV/f.u. For the energy of formation, the calculation gives -143 kJ/mol of formula units.

---

no.,M_tot (μB/atom)
1,0.000
2,0.000